# 1
Entry from Alexandria: an optimized crystal structure of CsTi2Nb (PBE).

Summary:
Energy of formation: 1.340 eV/atom
Energy: -85.4 eV per cell
N(E_F): 19.04 states/eV per cell
V: 341.8 Å³ per cell

abc: 6.9915 6.9915 6.9915
angles: 90.00 90.00 90.00
Last column: nearest neighbours and their distance in Å.
Space group Fm-3m (No. 225)
Symmetry-distinct sites (fractional):
Cs: 0.0000 0.0000 0.0000 x4  8 Ti 3.03
Ti: 0.2500 0.2500 0.2500 x8  4 Nb 3.03, 4 Cs 3.03
Nb: 0.0000 0.0000 0.5000 x4  8 Ti 3.03


# 2
Entry from Alexandria: an optimized crystal structure of CsTiNb3 (PBE).

Summary:
Energy of formation: 2.641 eV/atom
Energy: -25.8 eV per cell
N(E_F): 5.45 states/eV per cell
V: 125.5 Å³ per cell

abc: 5.0069 5.0069 5.0069
angles: 90.00 90.00 90.00
Last column: nearest neighbours and their distance in Å.
Space group Pm-3m (No. 221)
Symmetry-distinct sites (fractional):
Cs: 0.0000 0.0000 0.0000 x1  6 Nb 2.50
Ti: 0.5000 0.5000 0.5000 x1  12 Nb 3.54
Nb: 0.0000 0.0000 0.5000 x3  2 Cs 2.50


| no. | magnetization (μB per formula unit) |
| --- | --- |
| 1 | 0.00 |
| 2 | 1.63 |